1.
Entry from Alexandria: a relaxed TcPNF2 crystal (PBE).

abc: 4.197 4.197 3.856
angles: 90.00 90.00 90.00
Last column: magnetic moment on the atom in μB.
Fractional positions:
1 P 0.500 0.500 0.500  0.95
2 N 0.000 0.000 0.500  -0.15
3 Tc 0.000 0.000 0.000  0.92
4 F 0.000 0.500 0.000  0.10
5 F 0.500 0.000 0.000  0.10

## Properties
Energy above the lowest structure with this stoichiometry, meV per atom: 0
Formation energy without anion corrections, meV/atom: 20
Total magnetization, μB/cell: 3.0

2.
Entry from Alexandria: a relaxed Sr3In5Au6 crystal (PBE).

abc: 4.743 10.343 14.034
angles: 90.00 90.00 90.00
Fractional positions:
1 Sr 0.000 0.256 0.691
2 Sr 0.500 0.744 0.191
3 Sr 0.500 0.744 0.809
4 Sr 0.000 0.230 0.000
5 Sr 0.500 0.770 0.500
6 Sr 0.000 0.256 0.309
7 In 0.000 0.509 0.857
8 In 0.000 0.912 0.675
9 In 0.000 0.731 0.000
10 In 0.500 0.491 0.643
11 In 0.500 0.269 0.500
12 In 0.000 0.509 0.143
13 In 0.500 0.491 0.357
14 In 0.000 0.912 0.325
15 In 0.500 0.088 0.825
16 In 0.500 0.088 0.175
17 Au 0.000 0.956 0.877
18 Au 0.500 0.044 0.623
19 Au 0.500 0.359 0.838
20 Au 0.500 0.544 0.000
21 Au 0.000 0.456 0.500
22 Au 0.000 0.641 0.662
23 Au 0.000 0.641 0.338
24 Au 0.500 0.939 0.000
25 Au 0.000 0.956 0.123
26 Au 0.500 0.359 0.162
27 Au 0.000 0.061 0.500
28 Au 0.500 0.044 0.377

## Properties
DFT formation energy, eV per atom: -0.54
Total magnetization, μB/cell: 0.0

3.
Entry from Alexandria: a relaxed Pr3Dy5Bi8 crystal (PBE).

abc: 9.083 9.083 9.078
angles: 59.98 59.98 60.00
Fractional positions:
1 Pr 0.500 0.000 0.500
2 Pr 0.000 0.000 0.500
3 Pr 0.000 0.500 0.500
4 Dy 0.500 0.000 0.000
5 Dy 0.500 0.500 0.000
6 Dy 0.000 0.000 0.000
7 Dy 0.000 0.500 0.000
8 Dy 0.500 0.500 0.500
9 Bi 0.250 0.250 0.757
10 Bi 0.250 0.743 0.757
11 Bi 0.743 0.250 0.757
12 Bi 0.746 0.746 0.761
13 Bi 0.750 0.750 0.243
14 Bi 0.750 0.257 0.243
15 Bi 0.257 0.750 0.243
16 Bi 0.254 0.254 0.239

## Properties
DFT formation energy, eV per atom: -0.89
Total magnetization, μB/cell: 0.0

4.
Entry from Alexandria: a relaxed AlHgBr2 crystal (PBE).

abc: 8.295 8.295 8.270
angles: 59.90 59.90 90.00
Fractional positions:
1 Hg 0.000 0.000 0.000
2 Hg 0.750 0.250 0.500
3 Br 0.374 0.125 0.250
4 Br 0.376 0.625 0.250
5 Br 0.375 0.626 0.750
6 Br 0.875 0.624 0.750
7 Al 0.500 0.500 0.000
8 Al 0.250 0.750 0.500

## Properties
Energy above the lowest structure with this stoichiometry, meV per atom: 52
Formation energy without anion corrections, meV/atom: -466
Total magnetization, μB/cell: 0.0

Which formula does entry 2 have? Sr3In5Au6

Look up the total magnetization of the first one. 3.0 μB/cell

Number 2 is which compound? Sr3In5Au6